1.
First-principles (PBE) data for crystalline K2RbTlBr4 at its relaxed geometry, as listed in the Alexandria database.

Geometry as extended XYZ:
```
8
Lattice="8.295 0.000 0.000 0.000 4.797 0.000 -2.753 0.000 7.851" Properties=species:S:1:pos:R:3 pbc="T T T"
K 0.000 0.000 0.000
K 4.147 2.398 0.000
Rb -1.377 2.398 3.925
Tl 2.771 0.000 3.925
Br 1.413 2.398 1.907
Br 0.038 0.000 5.962
Br 5.503 0.000 1.888
Br 4.128 2.398 5.944
```

Values from the calculation:
The value obtained for the formation energy without anion corrections is -1.527 eV/atom. Its density of states at the Fermi level is 0.00 states/eV/cell. Its crystal system is monoclinic.

2.
First-principles (PBE) data for crystalline K3RbTl2Br6 at its relaxed geometry, as listed in the Alexandria database.

Geometry as extended XYZ:
```
12
Lattice="10.430 -2.388 0.000 10.430 2.388 0.000 -2.236 0.000 9.313" Properties=species:S:1:pos:R:3 pbc="T T T"
K 0.000 0.000 0.000
K 5.450 0.000 6.230
K 13.174 0.000 3.083
Rb -1.118 0.000 4.656
Tl 6.568 0.000 1.551
Tl 12.057 0.000 7.762
Br 3.268 0.000 0.790
Br 2.241 0.000 5.406
Br 8.718 0.000 7.063
Br 9.906 0.000 2.249
Br 16.383 0.000 3.906
Br 15.356 0.000 8.523
```

Values from the calculation:
The value obtained for the formation energy without anion corrections is -1.453 eV/atom. Its density of states at the Fermi level is 0.00 states/eV/cell. Its crystal system is monoclinic.

3.
First-principles (PBE) data for crystalline K2RbTlBr6 at its relaxed geometry, as listed in the Alexandria database.

Geometry as extended XYZ:
```
10
Lattice="8.175 0.000 0.000 4.086 7.089 0.000 4.085 2.363 7.080" Properties=species:S:1:pos:R:3 pbc="T T T"
K 0.000 0.000 0.000
K 8.175 4.724 3.790
Rb 4.089 2.365 1.051
Tl 12.262 7.090 4.334
Br 6.433 6.849 5.863
Br 5.165 5.144 2.591
Br 7.212 2.151 5.867
Br 10.036 7.128 2.595
Br 10.883 5.176 5.865
Br 9.320 1.909 2.593
```

Values from the calculation:
The value obtained for the formation energy without anion corrections is -1.235 eV/atom. For the energy above the most stable polymorph in this dataset, the calculation gives 0.00 kcal/mol of atoms. Its crystal system is triclinic.

4.
First-principles (PBE) data for crystalline K2RbTlBr6 at its relaxed geometry, as listed in the Alexandria database.

Geometry as extended XYZ:
```
10
Lattice="0.000 5.987 5.987 5.987 0.000 5.987 5.987 5.987 0.000" Properties=species:S:1:pos:R:3 pbc="T T T"
K 2.993 2.993 2.993
K 8.980 8.980 8.980
Rb 0.000 0.000 0.000
Tl 5.987 5.987 5.987
Br 5.987 5.987 3.216
Br 5.987 3.216 5.987
Br 8.757 5.987 5.987
Br 3.216 5.987 5.987
Br 5.987 8.757 5.987
Br 5.987 5.987 8.757
```

Values from the calculation:
The value obtained for the formation energy without anion corrections is -1.149 eV/atom. For the energy above the most stable polymorph in this dataset, the calculation gives 1.99 kcal/mol of atoms. Its crystal system is cubic.

5.
First-principles (PBE) data for crystalline K3RbTl4Br8 at its relaxed geometry, as listed in the Alexandria database.

Geometry as extended XYZ:
```
16
Lattice="4.782 2.761 7.804 -4.782 2.761 7.804 0.000 -5.521 7.804" Properties=species:S:1:pos:R:3 pbc="T T T"
K -2.391 -1.380 7.804
K -2.391 1.380 15.608
K 0.000 2.761 7.804
Rb 0.000 0.000 0.000
Tl -4.782 0.000 11.706
Tl -2.391 1.380 3.902
Tl 2.391 1.380 3.902
Tl 0.000 0.000 11.706
Br 0.000 0.000 5.902
Br 0.000 -2.694 9.749
Br -2.333 1.347 9.749
Br -2.333 -1.347 13.663
Br 2.333 1.347 9.749
Br 2.333 -1.347 13.663
Br 0.000 2.694 13.663
Br 0.000 0.000 17.510
```

Values from the calculation:
The value obtained for the formation energy without anion corrections is -1.304 eV/atom. Its density of states at the Fermi level is 0.00 states/eV/cell. Its crystal system is trigonal.

6.
First-principles (PBE) data for crystalline KRb2Tl3Br6 at its relaxed geometry, as listed in the Alexandria database.

Geometry as extended XYZ:
```
12
Lattice="10.518 -2.415 0.000 10.518 2.415 0.000 -2.189 0.000 9.406" Properties=species:S:1:pos:R:3 pbc="T T T"
K 0.000 0.000 0.000
Rb 5.562 0.000 6.306
Rb 13.285 0.000 3.100
Tl -1.094 0.000 4.703
Tl 6.670 0.000 1.574
Tl 12.176 0.000 7.832
Br 3.285 0.000 0.692
Br 2.194 0.000 5.506
Br 9.922 0.000 2.290
Br 8.924 0.000 7.116
Br 16.652 0.000 3.900
Br 15.562 0.000 8.714
```

Values from the calculation:
The value obtained for the formation energy without anion corrections is -1.303 eV/atom. Its density of states at the Fermi level is 0.00 states/eV/cell. Its crystal system is monoclinic.

7.
First-principles (PBE) data for crystalline K2RbTmBr6 at its relaxed geometry, as listed in the Alexandria database.

Geometry as extended XYZ:
```
10
Lattice="4.074 2.352 7.096 -4.074 2.352 7.096 0.000 -4.704 7.096" Properties=species:S:1:pos:R:3 pbc="T T T"
K 0.000 0.000 0.000
K 0.000 0.000 10.402
Rb 0.000 0.000 4.335
Tm 0.000 0.000 14.755
Br -1.748 -2.593 9.173
Br -2.198 0.060 13.036
Br -1.371 2.811 9.173
Br 1.047 -1.934 13.036
Br 3.120 -0.218 9.173
Br 1.151 1.874 13.036
```

Values from the calculation:
The value obtained for the formation energy without anion corrections is -1.815 eV/atom. Its density of states at the Fermi level is 0.00 states/eV/cell. Its crystal system is trigonal.

8.
First-principles (PBE) data for crystalline KRb2UBr6 at its relaxed geometry, as listed in the Alexandria database.

Geometry as extended XYZ:
```
10
Lattice="7.148 -4.210 0.000 7.148 4.210 0.000 -4.717 0.000 6.995" Properties=species:S:1:pos:R:3 pbc="T T T"
K 0.000 0.000 0.000
Rb 0.129 0.000 5.044
Rb 9.451 0.000 1.951
U 4.790 0.000 3.497
Br 3.050 2.038 4.647
Br 3.150 0.000 1.082
Br 6.530 2.038 2.348
Br 3.050 -2.038 4.647
Br 6.430 0.000 5.913
Br 6.530 -2.038 2.348
```

Values from the calculation:
The value obtained for the formation energy without anion corrections is -1.582 eV/atom. Its crystal system is monoclinic.

9.
First-principles (PBE) data for crystalline KRbUBr6 at its relaxed geometry, as listed in the Alexandria database.

Geometry as extended XYZ:
```
18
Lattice="8.126 0.000 0.000 -4.063 7.038 0.000 0.000 0.000 14.031" Properties=species:S:1:pos:R:3 pbc="T T T"
K 0.000 4.692 3.508
K 4.063 2.346 10.523
Rb 0.000 0.000 0.000
Rb 0.000 0.000 7.015
U 0.000 4.692 10.523
U 4.063 2.346 3.508
Br -1.176 2.742 8.899
Br -2.276 4.648 12.147
Br 1.176 2.742 12.147
Br -1.100 6.685 8.899
Br 2.963 0.353 1.884
Br 1.787 2.389 5.132
Br 2.276 4.648 8.899
Br 1.100 6.685 12.147
Br 5.163 0.353 5.132
Br 2.888 4.295 1.884
Br 6.339 2.389 1.884
Br 5.239 4.295 5.132
```

Values from the calculation:
The value obtained for the formation energy without anion corrections is -1.547 eV/atom. Its density of states at the Fermi level is 9.87 states/eV/cell. Its crystal system is trigonal.

10.
First-principles (PBE) data for crystalline K3Rb3VBr8 at its relaxed geometry, as listed in the Alexandria database.

Geometry as extended XYZ:
```
15
Lattice="4.706 2.717 7.895 -4.706 2.717 7.895 0.000 -5.434 7.895" Properties=species:S:1:pos:R:3 pbc="T T T"
K -2.353 -1.359 7.895
K -2.353 1.359 15.791
K 0.000 2.717 7.895
Rb -4.706 0.000 11.843
Rb -2.353 1.359 3.948
Rb 2.353 1.359 3.948
V 0.000 0.000 0.000
Br 0.000 -3.203 9.444
Br -2.774 1.602 9.444
Br -2.774 -1.602 14.242
Br 0.000 0.000 6.025
Br 0.000 0.000 17.661
Br 2.774 1.602 9.444
Br 2.774 -1.602 14.242
Br 0.000 3.203 14.242
```

Values from the calculation:
The value obtained for the formation energy without anion corrections is -1.543 eV/atom. Its crystal system is trigonal.

11.
First-principles (PBE) data for crystalline KRbV2Br8 at its relaxed geometry, as listed in the Alexandria database.

Geometry as extended XYZ:
```
12
Lattice="3.641 2.102 10.213 -3.641 2.102 10.213 0.000 -4.205 10.213" Properties=species:S:1:pos:R:3 pbc="T T T"
K 0.000 0.000 0.000
Rb 0.000 0.000 15.319
V 0.000 0.000 7.462
V 0.000 0.000 23.176
Br -1.395 -1.786 12.206
Br 0.000 0.000 5.090
Br -2.245 0.315 18.432
Br -0.849 2.102 12.206
Br 0.849 -2.102 18.432
Br 2.245 -0.315 12.206
Br 0.000 0.000 25.547
Br 1.395 1.786 18.432
```

Values from the calculation:
The value obtained for the formation energy without anion corrections is -1.129 eV/atom. Its crystal system is trigonal.

12.
First-principles (PBE) data for crystalline K2RbVBr6 at its relaxed geometry, as listed in the Alexandria database.

Geometry as extended XYZ:
```
10
Lattice="3.994 2.306 6.791 -3.994 2.306 6.791 0.000 -4.612 6.791" Properties=species:S:1:pos:R:3 pbc="T T T"
K 0.000 0.000 0.000
K 0.000 0.000 9.984
Rb 0.000 0.000 4.233
V 0.000 0.000 14.248
Br -1.879 -2.573 8.907
Br -2.062 0.186 12.721
Br -1.288 2.914 8.907
Br 0.871 -1.879 12.721
Br 3.168 -0.341 8.907
Br 1.192 1.693 12.721
```

Values from the calculation:
The value obtained for the formation energy without anion corrections is -1.364 eV/atom. Its density of states at the Fermi level is 11.50 states/eV/cell. Its crystal system is trigonal.

It is found that the total moment values, taken in the order of the records, are 0.00; 0.00; 0.00; 0.00; 0.00; 0.00; 0.00; 0.30; 0.22; 0.20; 0.33; 0.20 μB/atom.
It is found that the uncorrected energy values, taken in the order of the records, are -3.055; -3.039; -2.792; -2.706; -2.998; -2.984; -3.583; -4.017; -4.146; -3.456; -3.936; -3.596 eV/atom.